No. 1
# LaTl2Ru

A geometry-optimized LaTl2Ru structure (PBE, the Alexandria database).

The structure in CIF format:
```
data_LaTl2Ru
_cell_length_a 3.4884
_cell_length_b 3.4884
_cell_length_c 7.7283
_cell_angle_alpha 90.00
_cell_angle_beta 90.00
_cell_angle_gamma 90.00
_space_group_name_H-M_alt 'P 1'
_space_group_IT_number 1
loop_
_space_group_symop_operation_xyz
'x,y,z'
loop_
_atom_site_label
_atom_site_type_symbol
_atom_site_fract_x
_atom_site_fract_y
_atom_site_fract_z
La1 La 0.0000 0.0000 0.0000
Tl1 Tl 0.5000 0.5000 0.2989
Tl2 Tl 0.5000 0.5000 0.7011
Ru1 Ru 0.0000 0.0000 0.5000
```

Computed properties:
mass density = 11.5 Mg/m³
space group = P4/mmm, No. 123
energy of formation from the pure elements = 90 meV/atom



No. 2
# La2TlRu2

A geometry-optimized La2TlRu2 structure (PBE, the Alexandria database).

The structure in CIF format:
```
data_La2TlRu2
_cell_length_a 4.0575
_cell_length_b 4.0575
_cell_length_c 16.1001
_cell_angle_alpha 90.00
_cell_angle_beta 90.00
_cell_angle_gamma 90.00
_space_group_name_H-M_alt 'P 1'
_space_group_IT_number 1
loop_
_space_group_symop_operation_xyz
'x,y,z'
loop_
_atom_site_label
_atom_site_type_symbol
_atom_site_fract_x
_atom_site_fract_y
_atom_site_fract_z
La1 La 0.0000 0.0000 0.1345
La2 La 0.0000 0.0000 0.8655
La3 La 0.5000 0.5000 0.3655
La4 La 0.5000 0.5000 0.6345
Tl1 Tl 0.0000 0.0000 0.5000
Tl2 Tl 0.5000 0.5000 0.0000
Ru1 Ru 0.0000 0.5000 0.2500
Ru2 Ru 0.0000 0.5000 0.7500
Ru3 Ru 0.5000 0.0000 0.2500
Ru4 Ru 0.5000 0.0000 0.7500
```

Computed properties:
mass density = 8.6 Mg/m³
space group = I4/mmm, No. 139
energy of formation from the pure elements = 69 meV/atom



No. 3
# LaTlRu2

A geometry-optimized LaTlRu2 structure (PBE, the Alexandria database).

The structure in CIF format:
```
data_LaTlRu2
_cell_length_a 4.5074
_cell_length_b 4.5074
_cell_length_c 17.8922
_cell_angle_alpha 90.00
_cell_angle_beta 90.00
_cell_angle_gamma 90.00
_space_group_name_H-M_alt 'P 1'
_space_group_IT_number 1
loop_
_space_group_symop_operation_xyz
'x,y,z'
loop_
_atom_site_label
_atom_site_type_symbol
_atom_site_fract_x
_atom_site_fract_y
_atom_site_fract_z
La1 La 0.0000 0.0000 0.0000
La2 La 0.0000 0.5000 0.2500
La3 La 0.5000 0.0000 0.7500
La4 La 0.5000 0.5000 0.5000
Tl1 Tl 0.0000 0.0000 0.5000
Tl2 Tl 0.0000 0.5000 0.7500
Tl3 Tl 0.5000 0.0000 0.2500
Tl4 Tl 0.5000 0.5000 0.0000
Ru1 Ru 0.1913 0.2500 0.1250
Ru2 Ru 0.2500 0.6913 0.3750
Ru3 Ru 0.2500 0.8087 0.8750
Ru4 Ru 0.3087 0.2500 0.6250
Ru5 Ru 0.6913 0.7500 0.6250
Ru6 Ru 0.7500 0.1913 0.8750
Ru7 Ru 0.7500 0.3087 0.3750
Ru8 Ru 0.8087 0.7500 0.1250
```

Computed properties:
mass density = 10.0 Mg/m³
space group = I-42d, No. 122
energy of formation from the pure elements = 557 meV/atom



No. 4
# LaTl3Ru

A geometry-optimized LaTl3Ru structure (PBE, the Alexandria database).

The structure in CIF format:
```
data_LaTl3Ru
_cell_length_a 6.0471
_cell_length_b 6.0471
_cell_length_c 6.0471
_cell_angle_alpha 90.00
_cell_angle_beta 90.00
_cell_angle_gamma 90.00
_space_group_name_H-M_alt 'P 1'
_space_group_IT_number 1
loop_
_space_group_symop_operation_xyz
'x,y,z'
loop_
_atom_site_label
_atom_site_type_symbol
_atom_site_fract_x
_atom_site_fract_y
_atom_site_fract_z
La1 La 0.0000 0.0000 0.0000
Tl1 Tl 0.0000 0.0000 0.5000
Tl2 Tl 0.0000 0.5000 0.0000
Tl3 Tl 0.5000 0.0000 0.0000
Ru1 Ru 0.5000 0.5000 0.5000
```

Computed properties:
mass density = 6.4 Mg/m³
space group = Pm-3m, No. 221
energy of formation from the pure elements = 1520 meV/atom



No. 5
# LaTl2Ru

A geometry-optimized LaTl2Ru structure (PBE, the Alexandria database).

The structure in CIF format:
```
data_LaTl2Ru
_cell_length_a 6.1656
_cell_length_b 6.1323
_cell_length_c 5.1983
_cell_angle_alpha 90.00
_cell_angle_beta 90.55
_cell_angle_gamma 90.00
_space_group_name_H-M_alt 'P 1'
_space_group_IT_number 1
loop_
_space_group_symop_operation_xyz
'x,y,z'
loop_
_atom_site_label
_atom_site_type_symbol
_atom_site_fract_x
_atom_site_fract_y
_atom_site_fract_z
La1 La 0.0000 0.0000 0.0000
La2 La 0.5000 0.5000 0.0000
Tl1 Tl 0.2500 0.2500 0.5000
Tl2 Tl 0.2500 0.7500 0.5000
Tl3 Tl 0.7500 0.2500 0.5000
Tl4 Tl 0.7500 0.7500 0.5000
Ru1 Ru 0.0000 0.5000 0.0000
Ru2 Ru 0.5000 0.0000 0.0000
```

Computed properties:
mass density = 11.0 Mg/m³
space group = C2/m, No. 12
energy of formation from the pure elements = 96 meV/atom



No. 6
# La4TlRu

A geometry-optimized La4TlRu structure (PBE, the Alexandria database).

The structure in CIF format:
```
data_La4TlRu
_cell_length_a 6.3171
_cell_length_b 6.3171
_cell_length_c 6.3171
_cell_angle_alpha 60.00
_cell_angle_beta 60.00
_cell_angle_gamma 60.00
_space_group_name_H-M_alt 'P 1'
_space_group_IT_number 1
loop_
_space_group_symop_operation_xyz
'x,y,z'
loop_
_atom_site_label
_atom_site_type_symbol
_atom_site_fract_x
_atom_site_fract_y
_atom_site_fract_z
La1 La 0.1242 0.1242 0.1242
La2 La 0.1242 0.1242 0.6274
La3 La 0.1242 0.6274 0.1242
La4 La 0.6274 0.1242 0.1242
Tl1 Tl 0.5000 0.5000 0.5000
Ru1 Ru 0.7500 0.7500 0.7500
```

Computed properties:
mass density = 8.0 Mg/m³
space group = F-43m, No. 216
energy of formation from the pure elements = 585 meV/atom



| no. | DOS(E_F) (states/eV/f.u.) |
| --- | --- |
| 1 | 3.08 |
| 2 | 4.83 |
| 3 | 4.06 |
| 4 | 8.07 |
| 5 | 3.38 |
| 6 | 9.43 |